! LiIn2Cu2Pd5 | Alexandria | PBE | optimized geometry; values from VASP
! Symmetry: P4/mbm, No. 127
! Calculated total energy: -4.414 eV per atom
! Magnetization: 0.00 Bohr magnetons per cell
&SYSTEM
  ibrav = 0, nat = 20, ntyp = 4
/
ATOMIC_SPECIES
Pd 106.42 Pd.upf
In 114.82 In.upf
Li 6.94 Li.upf
Cu 63.55 Cu.upf
CELL_PARAMETERS angstrom
3.938 0.000 0.000
0.000 9.104 0.000
0.000 0.000 9.104
ATOMIC_POSITIONS crystal
Pd 0.500 0.192 0.089
Pd 0.500 0.500 0.000
Pd 0.500 0.589 0.692
Pd 0.500 0.808 0.911
Pd 0.500 0.692 0.411
Pd 0.500 0.089 0.808
Pd 0.500 0.411 0.308
Pd 0.500 0.308 0.589
Pd 0.500 0.000 0.500
Pd 0.500 0.911 0.192
In 0.000 0.671 0.171
In 0.000 0.171 0.329
In 0.000 0.329 0.829
In 0.000 0.829 0.671
Li 0.000 0.500 0.500
Li 0.000 0.000 0.000
Cu 0.000 0.625 0.875
Cu 0.000 0.125 0.625
Cu 0.000 0.875 0.375
Cu 0.000 0.375 0.125

=====

! LiIn4CuPd2 | Alexandria | PBE | optimized geometry; values from VASP
! Symmetry: R-3m, No. 166
! Calculated total energy: -3.725 eV per atom
! Magnetization: 0.00 Bohr magnetons per cell
&SYSTEM
  ibrav = 0, nat = 8, ntyp = 4
/
ATOMIC_SPECIES
In 114.82 In.upf
Pd 106.42 Pd.upf
Li 6.94 Li.upf
Cu 63.55 Cu.upf
CELL_PARAMETERS angstrom
-0.942 3.105 3.362
-4.326 1.704 0.461
-3.492 -4.094 6.049
ATOMIC_POSITIONS crystal
In 0.874 0.874 0.378
In 0.623 0.623 0.130
In 0.377 0.377 0.870
In 0.126 0.126 0.622
Pd 0.747 0.747 0.758
Pd 0.253 0.253 0.242
Li 0.000 0.000 0.000
Cu 0.500 0.500 0.500